The following is a GGA-PBE calculation of a relaxed structure of Sm2ThScBi5, from Alexandria.

a = 5.7933 Å, b = 5.7933 Å, c = 11.5054 Å
α = 90.00°, β = 90.00°, γ = 90.00°
Closest atoms and distances in Å follow each position.
Fractional coordinates of all 9 atoms:
1 Sm 0.5000 0.5000 0.2906  1 Bi 3.34
2 Sm 0.5000 0.5000 0.7094  1 Bi 3.34
3 Th 0.0000 0.0000 0.5000  6 Bi 2.90-3.04
4 Sc 0.0000 0.0000 0.0000  2 Bi 2.71
5 Bi 0.0000 0.5000 0.5000  2 Th 2.90
6 Bi 0.5000 0.0000 0.5000  2 Th 2.90
7 Bi 0.0000 0.0000 0.7644  1 Sc 2.71
8 Bi 0.0000 0.0000 0.2356  1 Sc 2.71
9 Bi 0.5000 0.5000 0.0000  2 Sm 3.34

* total moment: 0.0 μB per formula unit
* mass density: 6.98 g cm⁻³
* energy relative to the elements: 137 meV/atom



The following is a GGA-PBE calculation of a relaxed structure of SmTh2ScBi4, from Alexandria.

a = 4.5305 Å, b = 7.8399 Å, c = 7.7732 Å
α = 109.75°, β = 90.00°, γ = 90.00°
Closest atoms and distances in Å follow each position.
Fractional coordinates of all 8 atoms:
1 Sm 0.0000 0.0000 0.0000  6 Bi 3.17-3.18
2 Th 0.5000 0.0000 0.5000  6 Bi 3.29
3 Th 0.0000 0.5000 0.5000  6 Bi 3.21
4 Sc 0.5000 0.5000 0.0000  6 Bi 3.09-3.10
5 Bi 0.5000 0.2545 0.2392  1 Sc 3.09, 2 Sm 3.17, 3 Th 3.21-3.29
6 Bi 0.5000 0.7455 0.7608  1 Sc 3.09, 2 Sm 3.17, 3 Th 3.21-3.29
7 Bi 0.0000 0.2637 0.7668  2 Sc 3.10, 1 Sm 3.18, 3 Th 3.21-3.29
8 Bi 0.0000 0.7363 0.2332  2 Sc 3.10, 1 Sm 3.18, 3 Th 3.21-3.29

* total moment: 0.0 μB per formula unit
* mass density: 9.56 g cm⁻³
* energy relative to the elements: -665 meV/atom



What did the first record say?
The following is a GGA-PBE calculation of a relaxed structure of Sm2ThScBi5, from Alexandria.

a = 5.7933 Å, b = 5.7933 Å, c = 11.5054 Å
α = 90.00°, β = 90.00°, γ = 90.00°
Closest atoms and distances in Å follow each position.
Fractional coordinates of all 9 atoms:
1 Sm 0.5000 0.5000 0.2906  1 Bi 3.34
2 Sm 0.5000 0.5000 0.7094  1 Bi 3.34
3 Th 0.0000 0.0000 0.5000  6 Bi 2.90-3.04
4 Sc 0.0000 0.0000 0.0000  2 Bi 2.71
5 Bi 0.0000 0.5000 0.5000  2 Th 2.90
6 Bi 0.5000 0.0000 0.5000  2 Th 2.90
7 Bi 0.0000 0.0000 0.7644  1 Sc 2.71
8 Bi 0.0000 0.0000 0.2356  1 Sc 2.71
9 Bi 0.5000 0.5000 0.0000  2 Sm 3.34

* total moment: 0.0 μB per formula unit
* mass density: 6.98 g cm⁻³
* energy relative to the elements: 137 meV/atom



Q: Which of these has the highest energy relative to the elements?
A: Sm2ThScBi5